Compound: KLi2VO4
Source: Alexandria
Functional: PBE+U
Structure: relaxed

a = 5.2581 Å, b = 5.2581 Å, c = 5.2581 Å
α = 118.51°, β = 118.51°, γ = 92.60°
Closest atoms and distances in Å follow each position.
Fractional coordinates of all 8 atoms:
K 0.5000 0.5000 0.0000  4 O 2.61
Li 0.7500 0.2500 0.5000  4 O 2.11
Li 0.2500 0.7500 0.5000  4 O 2.11
V 0.0000 0.0000 0.0000  4 O 1.75
O 0.6720 0.6720 0.6291  1 V 1.75
O 0.9571 0.3280 0.0000  1 V 1.75
O 0.3280 0.9571 0.0000  1 V 1.75
O 0.0429 0.0429 0.3709  1 V 1.75

- Raw total energy: -48.6 eV/cell
- Size of the total moment: 0.0 μB/cell
- Symmetry: I-42m, No. 121